# PBE CsCrSe2, relaxed
data_CsCrSe2
_cell_length_a 3.941
_cell_length_b 3.941
_cell_length_c 8.534
_cell_angle_alpha 90.00
_cell_angle_beta 90.00
_cell_angle_gamma 120.00
_symmetry_space_group_name_H-M 'P 1'
_symmetry_Int_Tables_number 1
loop_
_symmetry_equiv_pos_as_xyz
'x,y,z'
loop_
_atom_site_label
_atom_site_fract_x
_atom_site_fract_y
_atom_site_fract_z
Cs1 0.333 0.667 0.449
Cr1 0.000 0.000 0.000
Se1 0.333 0.667 0.853
Se2 0.667 0.333 0.153
# Raw formation energy   -0.671 eV per atom
# Symmetry   P3m1, No. 156